No. 1
DFT (PBE) results for crystalline KRh2Pb2 at its relaxed geometry.

- Energy of formation from the pure elements: 30 meV/atom
- Excess energy over the best structure of this formula in the dataset: 2.12 kcal/mol of atoms
- Crystal system: tetragonal
- Total moment: 0.00 μB/f.u.

Lattice parameters (Å, degrees): 8.3476 8.3476 3.1488 90.00 90.00 90.00
With the nearest neighbours (Å) after each atom.
Space group P4/mbm (No. 127)
Unique sites:
K: 0.0000 0.0000 0.0000  2 K 3.15, 4 Rh 3.24
Rh: 0.1361 0.3639 0.0000  6 Pb 2.89-2.94, 3 Rh 3.15-3.21
Pb: 0.1540 0.6540 0.5000  6 Rh 2.89-2.94, 2 Pb 3.15

---

No. 2
DFT (PBE) results for crystalline KRhPb at its relaxed geometry.

- Energy of formation from the pure elements: 1097 meV/atom
- Crystal system: cubic
- Total moment: 0.00 μB/f.u.

Lattice parameters (Å, degrees): 7.0559 7.0559 7.0559 90.00 90.00 90.00
With the nearest neighbours (Å) after each atom.
Space group F-43m (No. 216)
Unique sites:
K: 0.0000 0.0000 0.0000  4 Pb 3.06, 4 Rh 3.06
Rh: 0.2500 0.2500 0.7500  4 K 3.06
Pb: 0.2500 0.2500 0.2500  4 K 3.06

---

No. 3
DFT (PBE) results for crystalline KRhPb3 at its relaxed geometry.

- Energy of formation from the pure elements: -109 meV/atom
- Excess energy over the best structure of this formula in the dataset: 0.00 kcal/mol of atoms
- Crystal system: orthorhombic
- Total moment: 0.00 μB/f.u.

Lattice parameters (Å, degrees): 9.4661 4.7433 12.7036 90.00 90.00 90.00
With the nearest neighbours (Å) after each atom.
Space group Pnma (No. 62)
Unique sites:
K: 0.1817 0.2500 0.0016  7 Pb 3.49-3.80, 2 Rh 3.78
Rh: 0.0819 0.2500 0.3507  7 Pb 2.75-2.98
Pb: 0.0680 0.2500 0.5789  3 Rh 2.90, 1 Pb 3.21
Pb: 0.1234 0.7500 0.2125  2 Rh 2.98, 1 Pb 3.21
Pb: 0.1364 0.7500 0.7921  2 Rh 2.75-2.77